1.
# Dy2Mn2Ga2C, optimized geometry, DFT PBE
# Total magnetic moment, μB per atom: 0.2077
# ΔH_f (0 K), meV per atom: -415
# Energy, eV per cell: -45.72
# Fermi-level density of states, states/eV/cell: 4.37
data_Dy2Mn2Ga2C
_space_group_name_H-M_alt 'P 1'
_space_group_IT_number 1
_cell_length_a 3.6318
_cell_length_b 5.6480
_cell_length_c 7.2338
_cell_angle_alpha 57.70
_cell_angle_beta 89.99
_cell_angle_gamma 71.25
loop_
_space_group_symop_operation_xyz
'x,y,z'
loop_
_atom_site_label
_atom_site_fract_x
_atom_site_fract_y
_atom_site_fract_z
Dy1 0.4340 0.1318 0.7197
Dy2 0.5660 0.8682 0.2803
Mn1 0.8048 0.3902 0.9407
Mn2 0.1952 0.6098 0.0593
Ga1 0.8575 0.2849 0.3262
Ga2 0.1425 0.7151 0.6738
C1 0.0000 0.0000 0.0000

2.
# NdHf2NiN4, optimized geometry, DFT PBE
# Total magnetic moment, μB per atom: 0.0000
# Energy, eV per cell: -148.92
# Energy relative to the elements, uncorrected, eV per atom: -1.338
# Fermi-level density of states, states/eV/cell: 4.91
data_NdHf2NiN4
_space_group_name_H-M_alt 'P 1'
_space_group_IT_number 1
_cell_length_a 3.2505
_cell_length_b 5.7161
_cell_length_c 11.0942
_cell_angle_alpha 90.00
_cell_angle_beta 90.00
_cell_angle_gamma 106.52
loop_
_space_group_symop_operation_xyz
'x,y,z'
loop_
_atom_site_label
_atom_site_fract_x
_atom_site_fract_y
_atom_site_fract_z
Nd1 0.1081 0.2162 0.7500
Nd2 0.8919 0.7838 0.2500
Hf1 0.3672 0.7344 0.5555
Hf2 0.6328 0.2656 0.0555
Hf3 0.6328 0.2656 0.4445
Hf4 0.3672 0.7344 0.9445
Ni1 0.8443 0.6887 0.7500
Ni2 0.1557 0.3113 0.2500
N1 0.2663 0.5325 0.1098
N2 0.7337 0.4675 0.6098
N3 0.7337 0.4675 0.8902
N4 0.2663 0.5325 0.3902
N5 0.0000 0.0000 0.5000
N6 0.0000 0.0000 0.0000
N7 0.4413 0.8826 0.7500
N8 0.5587 0.1174 0.2500

3.
# Pr2Nd4SmY2, optimized geometry, DFT PBE
# Total magnetic moment, μB per atom: 0.0000
# ΔH_f (0 K), meV per atom: 4
# Energy, eV per cell: -46.24
# Fermi-level density of states, states/eV/cell: 12.21
data_Pr2Nd4SmY2
_space_group_name_H-M_alt 'P 1'
_space_group_IT_number 1
_cell_length_a 3.6961
_cell_length_b 9.7518
_cell_length_c 9.8189
_cell_angle_alpha 115.22
_cell_angle_beta 90.00
_cell_angle_gamma 100.92
loop_
_space_group_symop_operation_xyz
'x,y,z'
loop_
_atom_site_label
_atom_site_fract_x
_atom_site_fract_y
_atom_site_fract_z
Pr1 0.3338 0.6676 0.0009
Pr2 0.6662 0.3324 0.9991
Nd1 0.8143 0.6286 0.6664
Nd2 0.1857 0.3714 0.3336
Nd3 0.5184 0.0368 0.3346
Nd4 0.4816 0.9632 0.6654
Sm1 0.0000 0.0000 0.0000
Y1 0.8523 0.7045 0.3335
Y2 0.1477 0.2955 0.6665

4.
# SrGaBiO5, optimized geometry, DFT PBE
# Total magnetic moment, μB per atom: 0.0000
# Energy, eV per cell: -94.74
# Energy relative to the elements, uncorrected, eV per atom: -1.749
data_SrGaBiO5
_space_group_name_H-M_alt 'P 1'
_space_group_IT_number 1
_cell_length_a 6.0024
_cell_length_b 6.0024
_cell_length_c 7.7532
_cell_angle_alpha 104.44
_cell_angle_beta 104.44
_cell_angle_gamma 106.89
loop_
_space_group_symop_operation_xyz
'x,y,z'
loop_
_atom_site_label
_atom_site_fract_x
_atom_site_fract_y
_atom_site_fract_z
Sr1 0.3386 0.6614 0.2500
Sr2 0.6614 0.3386 0.7500
Ga1 0.6893 0.3107 0.2500
Ga2 0.3107 0.6893 0.7500
Bi1 0.0000 0.0000 0.5000
Bi2 0.0000 0.0000 0.0000
O1 0.0852 0.9148 0.2500
O2 0.9148 0.0852 0.7500
O3 0.9020 0.3131 0.1100
O4 0.0980 0.6869 0.8900
O5 0.6869 0.0980 0.3900
O6 0.3131 0.9020 0.6100
O7 0.7448 0.6250 0.4181
O8 0.2552 0.3750 0.5819
O9 0.3750 0.2552 0.0819
O10 0.6250 0.7448 0.9181

5.
# SiIr2Cl, optimized geometry, DFT PBE
# Total magnetic moment, μB per atom: 0.0000
# Energy relative to the lowest polymorph listed for this composition, kJ/mol of atoms: 25.8
# Energy, eV per cell: -24.82
# Energy relative to the elements, uncorrected, eV per atom: 0.042
# Fermi-level density of states, states/eV/cell: 1.78
data_SiIr2Cl
_space_group_name_H-M_alt 'P 1'
_space_group_IT_number 1
_cell_length_a 2.9526
_cell_length_b 2.9526
_cell_length_c 7.0425
_cell_angle_alpha 90.00
_cell_angle_beta 90.00
_cell_angle_gamma 90.00
loop_
_space_group_symop_operation_xyz
'x,y,z'
loop_
_atom_site_label
_atom_site_fract_x
_atom_site_fract_y
_atom_site_fract_z
Cl1 0.5000 0.5000 0.7500
Ir1 0.0000 0.0000 0.0569
Ir2 0.0000 0.0000 0.4431
Si1 0.5000 0.5000 0.2500

6.
# KTc3Sb, optimized geometry, DFT PBE
# Total magnetic moment, μB per atom: 1.3419
# Energy relative to the lowest polymorph listed for this composition, kJ/mol of atoms: 0.0
# Energy, eV per cell: -27.51
# Energy relative to the elements, uncorrected, eV per atom: 1.761
# Fermi-level density of states, states/eV/cell: 4.00
data_KTc3Sb
_space_group_name_H-M_alt 'P 1'
_space_group_IT_number 1
_cell_length_a 5.0813
_cell_length_b 5.0813
_cell_length_c 5.0813
_cell_angle_alpha 90.00
_cell_angle_beta 90.00
_cell_angle_gamma 90.00
loop_
_space_group_symop_operation_xyz
'x,y,z'
loop_
_atom_site_label
_atom_site_fract_x
_atom_site_fract_y
_atom_site_fract_z
Sb1 0.0000 0.0000 0.0000
K1 0.5000 0.5000 0.5000
Tc1 0.0000 0.5000 0.0000
Tc2 0.0000 0.0000 0.5000
Tc3 0.5000 0.0000 0.0000

7.
# BaCuAuS2, optimized geometry, DFT PBE
# Total magnetic moment, μB per atom: 0.0000
# Energy, eV per cell: -43.46
# Energy relative to the elements, uncorrected, eV per atom: -0.836
# Fermi-level density of states, states/eV/cell: 0.13
data_BaCuAuS2
_space_group_name_H-M_alt 'P 1'
_space_group_IT_number 1
_cell_length_a 6.5787
_cell_length_b 5.7630
_cell_length_c 6.7477
_cell_angle_alpha 115.28
_cell_angle_beta 90.00
_cell_angle_gamma 90.00
loop_
_space_group_symop_operation_xyz
'x,y,z'
loop_
_atom_site_label
_atom_site_fract_x
_atom_site_fract_y
_atom_site_fract_z
Ba1 0.2727 0.7500 0.5000
Ba2 0.7273 0.2500 0.5000
Cu1 0.5000 0.7500 0.0000
Cu2 0.5000 0.2500 0.0000
Au1 0.0000 0.0000 0.0000
Au2 0.0000 0.5000 0.0000
S1 0.7047 0.8891 0.7783
S2 0.7047 0.6109 0.2217
S3 0.2953 0.3891 0.7783
S4 0.2953 0.1109 0.2217

8.
# Sn3RuAu, optimized geometry, DFT PBE
# Total magnetic moment, μB per atom: 0.3859
# Energy relative to the lowest polymorph listed for this composition, kJ/mol of atoms: 91.0
# ΔH_f (0 K), meV per atom: 1082
# Energy, eV per cell: -19.15
# Fermi-level density of states, states/eV/cell: 6.10
data_Sn3RuAu
_space_group_name_H-M_alt 'P 1'
_space_group_IT_number 1
_cell_length_a 5.2788
_cell_length_b 5.2788
_cell_length_c 5.2788
_cell_angle_alpha 90.00
_cell_angle_beta 90.00
_cell_angle_gamma 90.00
loop_
_space_group_symop_operation_xyz
'x,y,z'
loop_
_atom_site_label
_atom_site_fract_x
_atom_site_fract_y
_atom_site_fract_z
Ru1 0.5000 0.5000 0.5000
Au1 0.0000 0.0000 0.0000
Sn1 0.0000 0.5000 0.0000
Sn2 0.0000 0.0000 0.5000
Sn3 0.5000 0.0000 0.0000

9.
# PrInSn, optimized geometry, DFT PBE
# Total magnetic moment, μB per atom: 0.0000
# Energy relative to the lowest polymorph listed for this composition, kJ/mol of atoms: 4.6
# ΔH_f (0 K), meV per atom: -472
# Energy, eV per cell: -25.88
# Fermi-level density of states, states/eV/cell: 1.75
data_PrInSn
_space_group_name_H-M_alt 'P 1'
_space_group_IT_number 1
_cell_length_a 4.7574
_cell_length_b 6.4931
_cell_length_c 6.3828
_cell_angle_alpha 90.00
_cell_angle_beta 90.00
_cell_angle_gamma 111.49
loop_
_space_group_symop_operation_xyz
'x,y,z'
loop_
_atom_site_label
_atom_site_fract_x
_atom_site_fract_y
_atom_site_fract_z
Pr1 0.6434 0.7868 0.7500
Pr2 0.3566 0.2132 0.2500
In1 0.0429 0.5857 0.2500
In2 0.9571 0.4143 0.7500
Sn1 0.6786 0.8571 0.2500
Sn2 0.3214 0.1429 0.7500

10.
# Mg2CoW, optimized geometry, DFT PBE
# Total magnetic moment, μB per atom: 0.0724
# Energy relative to the lowest polymorph listed for this composition, kJ/mol of atoms: 37.5
# ΔH_f (0 K), meV per atom: 541
# Energy, eV per cell: -21.08
# Fermi-level density of states, states/eV/cell: 3.91
data_Mg2CoW
_space_group_name_H-M_alt 'P 1'
_space_group_IT_number 1
_cell_length_a 5.1655
_cell_length_b 5.1655
_cell_length_c 5.1655
_cell_angle_alpha 137.60
_cell_angle_beta 137.60
_cell_angle_gamma 61.52
loop_
_space_group_symop_operation_xyz
'x,y,z'
loop_
_atom_site_label
_atom_site_fract_x
_atom_site_fract_y
_atom_site_fract_z
Co1 0.7500 0.2500 0.5000
Mg1 0.0000 0.0000 0.0000
Mg2 0.5000 0.5000 0.0000
W1 0.2500 0.7500 0.5000

11.
# Sm6Y4Er, optimized geometry, DFT PBE
# Total magnetic moment, μB per atom: 0.0000
# Energy relative to the lowest polymorph listed for this composition, kJ/mol of atoms: 18.5
# ΔH_f (0 K), meV per atom: 312
# Energy, eV per cell: -55.30
# Fermi-level density of states, states/eV/cell: 16.86
data_Sm6Y4Er
_space_group_name_H-M_alt 'P 1'
_space_group_IT_number 1
_cell_length_a 6.6700
_cell_length_b 6.6700
_cell_length_c 9.7560
_cell_angle_alpha 109.99
_cell_angle_beta 109.99
_cell_angle_gamma 90.00
loop_
_space_group_symop_operation_xyz
'x,y,z'
loop_
_atom_site_label
_atom_site_fract_x
_atom_site_fract_y
_atom_site_fract_z
Sm1 0.8620 0.4871 0.3491
Sm2 0.4871 0.8620 0.3491
Sm3 0.5129 0.5129 0.6509
Sm4 0.0000 0.5000 0.0000
Sm5 0.1380 0.1380 0.6509
Sm6 0.5000 0.0000 0.0000
Y1 0.0514 0.6941 0.7454
Y2 0.9486 0.9486 0.2546
Y3 0.6941 0.0514 0.7454
Y4 0.3059 0.3059 0.2546
Er1 0.5000 0.5000 0.0000

12.
# UI3, optimized geometry, DFT PBE
# Total magnetic moment, μB per atom: 0.7500
# Energy, eV per cell: -19.02
# Energy relative to the elements, uncorrected, eV per atom: -0.769
# Fermi-level density of states, states/eV/cell: 2.48
data_UI3
_space_group_name_H-M_alt 'P 1'
_space_group_IT_number 1
_cell_length_a 8.2821
_cell_length_b 4.5117
_cell_length_c 6.2189
_cell_angle_alpha 90.00
_cell_angle_beta 111.65
_cell_angle_gamma 90.00
loop_
_space_group_symop_operation_xyz
'x,y,z'
loop_
_atom_site_label
_atom_site_fract_x
_atom_site_fract_y
_atom_site_fract_z
U1 0.0000 0.0000 0.0000
I1 0.7181 0.5000 0.8588
I2 0.0000 0.0000 0.5000
I3 0.2819 0.5000 0.1412

Q: Among the records above, which one has the highest total magnetic moment?
A: KTc3Sb

Q: Number 12 is which compound?
A: UI3

Q: Which value of energy does entry 1 give?
A: -45.72 eV per cell

Q: The highest energy belongs to which entry?
A: UI3